The following is a SCAN calculation of a PBEsol-optimized structure of KCaSi2, from Alexandria via LeMat-Bulk.

Geometry as CIF:
```
data_KCaSi2
_chemical_formula_sum 'K2 Ca2 Si4'
_cell_length_a 4.602
_cell_length_b 4.602
_cell_length_c 9.002
_cell_angle_alpha 90.00
_cell_angle_beta 90.00
_cell_angle_gamma 90.00
_space_group_name_H-M_alt 'I -4 m 2'
_space_group_IT_number 119
_space_group_name_Hall 'I -4 -2'
loop_
_atom_site_label
_atom_site_type_symbol
_atom_site_fract_x
_atom_site_fract_y
_atom_site_fract_z
K1 K 0.000 0.000 0.000
Ca1 Ca 0.000 0.500 0.750
Si1 Si 0.000 0.000 0.500
Si2 Si 0.000 0.500 0.250
```

magnetization	0.00	μB/atom
ΔE to the lowest computed polymorph	69	meV/atom
E_form (uncorrected)	0.38	eV per atom